{"formula": "Y2Co17C", "functional": "GGA-PBE", "state": "relaxed", "spacegroup": "C2/m, No. 12", "formation_energy_ev_per_atom": -0.070, "total_magnetization_mub_per_fu": 23.4, "volume_a3_per_cell": 246.8, "lattice_angstrom": [[4.7195, -4.2149, 0.0000], [4.7195, 4.2149, 0.0000], [-0.9527, 0.0000, 6.2027]], "species": ["Y", "Y", "Co", "Co", "Co", "Co", "Co", "Co", "Co", "Co", "Co", "Co", "Co", "Co", "Co", "Co", "Co", "Co", "Co", "C"], "fractional_positions": [[0.1596, 0.1596, 0.3541], [0.8404, 0.8404, 0.6459], [0.0000, 0.5000, 0.0000], [0.1544, 0.1544, 0.8516], [0.1550, 0.6415, 0.3498], [0.2148, 0.4986, 0.7131], [0.2180, 0.7820, 0.0000], [0.3585, 0.8450, 0.6502], [0.4043, 0.4043, 0.0983], [0.4986, 0.2148, 0.7131], [0.5000, 0.0000, 0.0000], [0.5000, 0.5000, 0.5000], [0.5014, 0.7852, 0.2869], [0.5957, 0.5957, 0.9017], [0.6415, 0.1550, 0.3498], [0.7820, 0.2180, 0.0000], [0.7852, 0.5014, 0.2869], [0.8450, 0.3585, 0.6502], [0.8456, 0.8456, 0.1484], [0.0000, 0.0000, 0.0000]]}